# PBE-GGA Cs2Se2F, relaxed
# **Crystal system**: tetragonal
# **Size of the total moment**: 1.00 μB/f.u.
# **Relative energy among the computed polymorphs**: 101 meV/atom
# **DFT total energy**: -34.30 eV/cell
# **Formation energy (no corrections)**: -6.6 eV/f.u.
data_Cs2Se2F
_chemical_formula_sum 'Cs4 Se4 F2'
_space_group_name_H-M_alt 'P 1'
_space_group_IT_number 1
_cell_length_a 8.190
_cell_length_b 8.190
_cell_length_c 5.971
_cell_angle_alpha 90.00
_cell_angle_beta 90.00
_cell_angle_gamma 90.00
loop_
_space_group_symop_operation_xyz
'x,y,z'
loop_
_atom_site_label
_atom_site_fract_x
_atom_site_fract_y
_atom_site_fract_z
_atom_site_occupancy
Se1 0.401 0.099 0.500 1
Se2 0.099 0.599 0.500 1
Se3 0.901 0.401 0.500 1
Se4 0.599 0.901 0.500 1
Cs1 0.803 0.697 0.000 1
Cs2 0.303 0.803 0.000 1
Cs3 0.197 0.303 0.000 1
Cs4 0.697 0.197 0.000 1
F1 0.500 0.500 0.000 1
F2 0.000 0.000 0.000 1